PBE Sc2Sb2Te, optimized geometry; formation energy without anion corrections = -69.9 kJ per mole of atoms; V = 24.97 A^3/atom; uncorrected energy = -0.4068 Ry per atom; total magnetic moment = 0.00 μB per atom; space group = P4/mbm; relative energy among the computed polymorphs = 0.000 eV per atom
1.0
7.8659 0.0000 0.0000
0.0000 7.8659 0.0000
0.0000 0.0000 4.0363
Sc Sb Te
4 4 2
Direct
0.1605 0.3395 0.0000
0.3395 0.8395 0.0000
0.6605 0.1605 0.0000
0.8395 0.6605 0.0000
0.1389 0.6389 0.5000
0.3611 0.1389 0.5000
0.6389 0.8611 0.5000
0.8611 0.3611 0.5000
0.0000 0.0000 0.0000
0.5000 0.5000 0.0000



PBE ScSb2Te, optimized geometry; formation energy without anion corrections = -26.4 kJ per mole of atoms; V = 27.02 A^3/atom; uncorrected energy = -0.3457 Ry per atom; total magnetic moment = 0.00 μB per atom; space group = Pmmm
1.0
4.1022 0.0000 0.0000
0.0000 4.3848 0.0000
0.0000 0.0000 6.0090
Sc Sb Te
1 2 1
Direct
0.0000 0.0000 0.0000
0.0000 0.5000 0.5000
0.5000 0.0000 0.5000
0.5000 0.5000 0.0000



PBE ScSb2Te, optimized geometry; formation energy without anion corrections = -26.6 kJ per mole of atoms; V = 27.13 A^3/atom; uncorrected energy = -0.3458 Ry per atom; total magnetic moment = 0.00 μB per atom; space group = Imm2
1.0
-1.9820 2.6020 5.2608
1.9820 -2.6020 5.2608
1.9820 2.6020 -5.2608
Sc Sb Te
1 2 1
Direct
0.0000 0.0000 0.0000
0.4653 0.4653 0.0000
0.6774 0.1774 0.5000
0.2153 0.7153 0.5000



PBE Sc6SbTe5, optimized geometry; formation energy without anion corrections = -105.3 kJ per mole of atoms; V = 25.61 A^3/atom; uncorrected energy = -0.4344 Ry per atom; total magnetic moment = 0.00 μB per atom; space group = C2/m
1.0
3.6026 -6.2532 0.0000
3.6026 6.2532 0.0000
-2.4031 0.0000 6.8215
Sc Sb Te
6 1 5
Direct
0.0799 0.4044 0.7421
0.2417 0.2417 0.2545
0.4044 0.0799 0.7421
0.5956 0.9201 0.2579
0.7583 0.7583 0.7455
0.9201 0.5956 0.2579
0.0000 0.0000 0.5000
0.1701 0.8299 0.0000
0.3342 0.6658 0.5000
0.5000 0.5000 0.0000
0.6658 0.3342 0.5000
0.8299 0.1701 0.0000



PBE Sc7Sb2Te2, optimized geometry; formation energy without anion corrections = -77.8 kJ per mole of atoms; V = 23.93 A^3/atom; uncorrected energy = -0.4525 Ry per atom; total magnetic moment = 0.00 μB per atom; space group = Imm2
1.0
-2.0305 7.2235 4.4874
2.0305 -7.2235 4.4874
2.0305 7.2235 -4.4874
Sc Sb Te
7 2 2
Direct
0.0000 0.0000 0.0000
0.2817 0.4043 0.8774
0.3035 0.6249 0.6786
0.5268 0.4043 0.1226
0.5724 0.2222 0.3502
0.8720 0.2222 0.6498
0.9463 0.6249 0.3214
0.1545 0.9220 0.2325
0.6896 0.9220 0.7675
0.2581 0.7581 0.5000
0.6651 0.6651 0.0000



PBE ScSbTe3, optimized geometry; formation energy without anion corrections = -49.9 kJ per mole of atoms; V = 38.25 A^3/atom; uncorrected energy = -0.3302 Ry per atom; total magnetic moment = 0.00 μB per atom; space group = P2_1/m; relative energy among the computed polymorphs = 0.137 eV per atom
1.0
8.0441 0.0000 0.0000
0.0000 4.2484 0.0000
-3.3080 0.0000 11.1932
Sc Sb Te
2 2 6
Direct
0.0199 0.2500 0.3350
0.9801 0.7500 0.6650
0.4721 0.2500 0.8265
0.5279 0.7500 0.1735
0.1802 0.7500 0.2438
0.1943 0.2500 0.5952
0.2691 0.7500 0.9035
0.7309 0.2500 0.0965
0.8057 0.7500 0.4048
0.8198 0.2500 0.7562